Entry 1:
Nd2HPb after structural relaxation, computed with PBE-GGA.

## Properties
- E: -4.67 eV per atom
- Size of the total moment: 0.3 μB/f.u.
- Space-group type: Immm (71)
- Energy above the most stable polymorph in this dataset: 0.0000 eV per atom

a b c (Å): 4.021 6.661 8.607
angles (deg): 112.77 103.51 90.00
Fractional coordinates of all 8 atoms:
1 H 0.222 0.171 0.018
2 H 0.439 0.389 0.453
3 Nd 0.330 0.529 0.235
4 Nd 0.331 0.030 0.235
5 Nd 0.641 0.090 0.856
6 Nd 0.020 0.469 0.614
7 Pb 0.688 0.638 0.951
8 Pb 0.973 0.922 0.520

---

Entry 2:
PmZrSi2O8 after structural relaxation, computed with PBE-GGA.

## Properties
- E: -8.21 eV per atom
- Size of the total moment: 0.4 μB/f.u.
- Space-group type: I-4m2 (119)
- Formation energy without anion corrections: -2888 meV per atom

a b c (Å): 5.800 5.800 5.800
angles (deg): 106.41 106.41 115.79
Fractional coordinates of all 12 atoms:
1 O 0.853 0.681 0.172
2 O 0.319 0.147 0.828
3 O 0.913 0.224 0.311
4 O 0.776 0.087 0.689
5 O 0.913 0.602 0.689
6 O 0.508 0.681 0.828
7 O 0.319 0.492 0.172
8 O 0.398 0.087 0.311
9 Si 0.500 0.500 0.000
10 Si 0.750 0.250 0.500
11 Zr 0.000 0.000 0.000
12 Pm 0.250 0.750 0.500

---

Entry 3:
LiErSi2Rh after structural relaxation, computed with PBE-GGA.

## Properties
- E: -5.71 eV per atom
- Size of the total moment: 0.0 μB/f.u.
- Space-group type: I-4m2 (119)
- Formation energy without anion corrections: -775 meV per atom

a b c (Å): 4.003 4.003 5.821
angles (deg): 110.11 110.11 90.00
Fractional coordinates of all 5 atoms:
1 Li 0.250 0.750 0.500
2 Er 0.000 0.000 0.000
3 Rh 0.750 0.250 0.500
4 Si 0.384 0.384 0.768
5 Si 0.616 0.616 0.232

---

Entry 4:
K4Tb3SnO8 after structural relaxation, computed with PBE-GGA.

## Properties
- E: -6.26 eV per atom
- Size of the total moment: 0.0 μB/f.u.
- Space-group type: R-3m (166)
- Formation energy without anion corrections: -2386 meV per atom

a b c (Å): 7.000 7.462 7.000
angles (deg): 117.96 120.00 90.00
Fractional coordinates of all 16 atoms:
1 O 0.272 0.312 0.042
2 O 0.230 0.688 0.459
3 O 0.230 0.688 0.958
4 O 0.770 0.312 0.042
5 O 0.770 0.312 0.541
6 O 0.728 0.688 0.958
7 O 0.272 0.315 0.543
8 O 0.728 0.685 0.457
9 Sn 0.000 0.500 0.000
10 K 0.000 0.000 0.000
11 K 0.000 0.000 0.500
12 K 0.500 0.000 0.500
13 K 0.500 0.000 0.000
14 Tb 0.500 0.500 0.500
15 Tb 0.500 0.500 0.000
16 Tb 0.000 0.500 0.500

---

Entry 5:
TlAg2PbO4 after structural relaxation, computed with PBE-GGA.

## Properties
- E: -4.38 eV per atom
- Size of the total moment: 0.0 μB/f.u.
- Space-group type: I-4 (82)
- Formation energy without anion corrections: -431 meV per atom

a b c (Å): 5.397 5.400 6.359
angles (deg): 115.12 115.11 90.00
Fractional coordinates of all 8 atoms:
1 O 0.366 0.833 0.225
2 O 0.859 0.392 0.225
3 O 0.639 0.613 0.719
4 O 0.080 0.106 0.719
5 Pb 0.736 0.736 0.472
6 Ag 0.486 0.986 0.972
7 Ag 0.236 0.236 0.472
8 Tl 0.986 0.486 0.972

---

Entry 6:
PuCu5 after structural relaxation, computed with PBE-GGA.

## Properties
- E: -5.64 eV per atom
- ΔE_f: 0.164 eV/atom
- Size of the total moment: 5.8 μB/f.u.
- Space-group type: Cmmm (65)

a b c (Å): 2.752 4.710 7.257
angles (deg): 108.94 90.00 90.00
Fractional coordinates of all 6 atoms:
1 Cu 0.000 0.654 0.308
2 Cu 0.500 0.195 0.390
3 Cu 0.500 0.500 0.000
4 Cu 0.000 0.346 0.692
5 Cu 0.500 0.805 0.610
6 Pu 0.000 0.000 0.000

---

Entry 7:
FeW3 after structural relaxation, computed with PBE-GGA.

## Properties
- E: -11.69 eV per atom
- ΔE_f: 0.138 eV/atom
- Size of the total moment: 2.0 μB/f.u.
- Space-group type: P4/mmm (123)

a b c (Å): 4.379 4.379 3.159
angles (deg): 90.00 90.00 90.01
Fractional coordinates of all 4 atoms:
1 W 0.000 0.500 0.500
2 W 0.500 0.500 0.000
3 W 0.500 0.000 0.500
4 Fe 0.000 0.000 0.000

---

Entry 8:
KMoPb2 after structural relaxation, computed with PBE-GGA.

## Properties
- E: -4.38 eV per atom
- ΔE_f: 0.461 eV/atom
- Size of the total moment: 0.0 μB/f.u.
- Space-group type: Imm2 (44)
- Energy above the most stable polymorph in this dataset: 0.1036 eV per atom

a b c (Å): 8.831 8.831 8.831
angles (deg): 158.95 149.89 37.03
Fractional coordinates of all 4 atoms:
1 Pb 0.084 0.084 0.000
2 Pb 0.753 0.253 0.500
3 K 0.435 0.435 0.000
4 Mo 0.228 0.728 0.500

---

Entry 9:
Sr2Zn3Cd after structural relaxation, computed with PBE-GGA.

## Properties
- E: -1.60 eV per atom
- ΔE_f: -0.251 eV/atom
- Size of the total moment: 0.0 μB/f.u.
- Space-group type: Fmmm (69)
- Energy above the most stable polymorph in this dataset: 0.0038 eV per atom

a b c (Å): 6.315 6.315 9.178
angles (deg): 107.90 107.90 96.11
Fractional coordinates of all 12 atoms:
1 Zn 0.677 0.161 0.838
2 Zn 0.838 0.838 0.677
3 Zn 0.161 0.677 0.838
4 Zn 0.323 0.839 0.162
5 Zn 0.162 0.162 0.323
6 Zn 0.839 0.323 0.162
7 Sr 0.250 0.750 0.500
8 Sr 0.750 0.750 0.000
9 Sr 0.250 0.250 0.000
10 Sr 0.750 0.250 0.500
11 Cd 0.333 0.333 0.667
12 Cd 0.667 0.667 0.333

---

Entry 10:
Mn3IrS6 after structural relaxation, computed with PBE-GGA.

## Properties
- E: -6.48 eV per atom
- Size of the total moment: 12.0 μB/f.u.
- Space-group type: P2_1/c (14)
- Formation energy without anion corrections: -369 meV per atom

a b c (Å): 5.945 6.144 9.389
angles (deg): 90.00 88.45 90.00
Fractional coordinates of all 20 atoms:
1 S 0.182 0.317 0.415
2 S 0.337 0.554 0.738
3 S 0.682 0.183 0.915
4 S 0.837 0.946 0.238
5 S 0.663 0.446 0.262
6 S 0.315 0.812 0.414
7 S 0.163 0.054 0.762
8 S 0.185 0.312 0.086
9 S 0.318 0.817 0.085
10 S 0.818 0.683 0.585
11 S 0.815 0.688 0.914
12 S 0.685 0.188 0.586
13 Mn 0.543 0.892 0.745
14 Mn 0.457 0.108 0.255
15 Mn 0.000 0.000 0.500
16 Mn 0.500 0.500 0.000
17 Mn 0.957 0.392 0.755
18 Mn 0.043 0.608 0.245
19 Ir 0.000 0.000 0.000
20 Ir 0.500 0.500 0.500

---

Entry 11:
RbNaIN2 after structural relaxation, computed with PBE-GGA.

## Properties
- E: -2.83 eV per atom
- Size of the total moment: 5.0 μB/f.u.
- Space-group type: P4/mmm (123)
- Energy above the most stable polymorph in this dataset: 0.2643 eV per atom
- Formation energy without anion corrections: 1271 meV per atom

a b c (Å): 5.444 5.444 7.421
angles (deg): 90.00 90.00 90.00
Fractional coordinates of all 5 atoms:
1 N 0.000 0.500 0.000
2 N 0.500 0.000 0.000
3 Na 0.500 0.500 0.500
4 Rb 0.000 0.000 0.000
5 I 0.000 0.000 0.500

---

Entry 12:
Li3CaMg2 after structural relaxation, computed with PBE-GGA.

## Properties
- E: -1.80 eV per atom
- ΔE_f: 0.021 eV/atom
- Size of the total moment: 0.0 μB/f.u.
- Space-group type: Cmcm (63)
- Energy above the most stable polymorph in this dataset: 0.0022 eV per atom

a b c (Å): 6.148 7.023 7.023
angles (deg): 98.14 90.00 90.00
Fractional coordinates of all 12 atoms:
1 Mg 0.500 0.232 0.768
2 Mg 0.500 0.768 0.232
3 Mg 0.000 0.232 0.768
4 Mg 0.000 0.768 0.232
5 Ca 0.750 0.659 0.659
6 Ca 0.250 0.341 0.341
7 Li 0.750 0.009 0.009
8 Li 0.250 0.991 0.991
9 Li 0.250 0.584 0.885
10 Li 0.750 0.115 0.416
11 Li 0.250 0.885 0.584
12 Li 0.750 0.416 0.115

---

Entry 13:
BaSiRh2 after structural relaxation, computed with PBE-GGA.

## Properties
- E: -5.82 eV per atom
- Size of the total moment: 0.0 μB/f.u.
- Space-group type: I-42d (122)
- Formation energy without anion corrections: -308 meV per atom

a b c (Å): 5.136 5.136 8.522
angles (deg): 72.46 72.46 90.00
Fractional coordinates of all 8 atoms:
1 Rh 0.433 0.125 0.250
2 Rh 0.875 0.683 0.750
3 Rh 0.375 0.567 0.750
4 Rh 0.317 0.625 0.250
5 Ba 0.000 0.000 0.000
6 Ba 0.750 0.250 0.500
7 Si 0.250 0.750 0.500
8 Si 0.500 0.500 0.000

---

Entry 14:
KTa2Ir after structural relaxation, computed with PBE-GGA.

## Properties
- E: -7.81 eV per atom
- ΔE_f: 0.607 eV/atom
- Size of the total moment: 0.0 μB/f.u.
- Space-group type: C2/m (12)
- Energy above the most stable polymorph in this dataset: 0.2786 eV per atom

a b c (Å): 5.788 5.788 5.691
angles (deg): 74.45 74.45 29.33
Fractional coordinates of all 4 atoms:
1 K 0.250 0.250 0.250
2 Ta 0.047 0.047 0.911
3 Ta 0.453 0.453 0.589
4 Ir 0.750 0.750 0.750

---

Entry 15:
K2ZrCr after structural relaxation, computed with PBE-GGA.

## Properties
- E: -4.36 eV per atom
- ΔE_f: 0.732 eV/atom
- Size of the total moment: 2.1 μB/f.u.
- Space-group type: Immm (71)
- Energy above the most stable polymorph in this dataset: 0.0541 eV per atom

a b c (Å): 10.978 10.978 10.978
angles (deg): 162.66 158.04 28.12
Fractional coordinates of all 4 atoms:
1 Cr 0.250 0.750 0.500
2 K 0.099 0.099 0.000
3 K 0.401 0.401 0.000
4 Zr 0.750 0.250 0.500

---

Entry 16:
CaRe2Mo after structural relaxation, computed with PBE-GGA.

## Properties
- E: -8.84 eV per atom
- ΔE_f: 0.587 eV/atom
- Size of the total moment: 0.0 μB/f.u.
- Space-group type: Immm (71)
- Energy above the most stable polymorph in this dataset: 0.1231 eV per atom

a b c (Å): 5.430 5.430 5.430
angles (deg): 146.58 128.14 63.11
Fractional coordinates of all 4 atoms:
1 Re 0.481 0.481 0.000
2 Re 0.019 0.019 0.000
3 Ca 0.750 0.250 0.500
4 Mo 0.250 0.750 0.500

---

Entry 17:
Sr4LiTb3Te8 after structural relaxation, computed with PBE-GGA.

## Properties
- E: -4.48 eV per atom
- Size of the total moment: 0.0 μB/f.u.
- Space-group type: R-3m (166)
- Formation energy without anion corrections: -1506 meV per atom

a b c (Å): 9.048 9.124 9.048
angles (deg): 119.73 120.00 90.00
Fractional coordinates of all 16 atoms:
1 Sr 0.500 0.000 0.500
2 Sr 0.000 0.000 0.000
3 Sr 0.000 0.000 0.500
4 Sr 0.500 0.000 0.000
5 Tb 0.000 0.500 0.500
6 Tb 0.500 0.500 0.000
7 Tb 0.500 0.500 0.500
8 Te 0.758 0.272 0.014
9 Te 0.242 0.728 0.986
10 Te 0.242 0.728 0.484
11 Te 0.256 0.268 0.512
12 Te 0.255 0.272 0.014
13 Te 0.744 0.732 0.488
14 Te 0.745 0.728 0.986
15 Te 0.758 0.272 0.516
16 Li 0.000 0.500 0.000

---

Entry 18:
Lu2HfRh after structural relaxation, computed with PBE-GGA.

## Properties
- E: -6.99 eV per atom
- ΔE_f: -0.405 eV/atom
- Size of the total moment: 0.0 μB/f.u.
- Space-group type: P4/mmm (123)

a b c (Å): 3.378 3.378 7.789
angles (deg): 90.00 90.00 90.00
Fractional coordinates of all 4 atoms:
1 Rh 0.500 0.500 0.000
2 Lu 0.000 0.000 0.209
3 Lu 0.000 0.000 0.791
4 Hf 0.500 0.500 0.500

---

Entry 19:
MgI2Br after structural relaxation, computed with PBE-GGA.

## Properties
- E: -2.19 eV per atom
- Size of the total moment: 0.9 μB/f.u.
- Space-group type: I-42d (122)
- Energy above the most stable polymorph in this dataset: 0.0000 eV per atom
- Formation energy without anion corrections: -598 meV per atom

a b c (Å): 10.433 10.433 7.853
angles (deg): 48.37 48.37 90.00
Fractional coordinates of all 8 atoms:
1 Br 0.000 0.000 0.000
2 Br 0.750 0.250 0.500
3 I 0.255 0.625 0.250
4 I 0.875 0.745 0.750
5 I 0.375 0.505 0.750
6 I 0.495 0.125 0.250
7 Mg 0.500 0.500 0.000
8 Mg 0.250 0.750 0.500

---

Entry 20:
PrNd2Ga2Hg2 after structural relaxation, computed with PBE-GGA.

## Properties
- E: -3.38 eV per atom
- ΔE_f: -0.389 eV/atom
- Size of the total moment: 0.0 μB/f.u.
- Space-group type: R-3m (166)

a b c (Å): 4.699 4.699 10.113
angles (deg): 76.57 76.57 60.00
Fractional coordinates of all 7 atoms:
1 Hg 0.603 0.603 0.191
2 Hg 0.397 0.397 0.809
3 Nd 0.871 0.871 0.387
4 Nd 0.129 0.129 0.613
5 Ga 0.254 0.254 0.239
6 Ga 0.746 0.746 0.761
7 Pr 0.000 0.000 0.000